(1)
# PuMnZnNi (PBE, optimized geometry)
# spin magnetization = 2.24 μB per formula unit
# DOS at the Fermi energy = 27.5 states/eV per cell
# total energy = -0.2815 Ha/atom
data_PuMnZnNi
_symmetry_space_group_name_H-M 'F -4 3 m'
_symmetry_Int_Tables_number 216
_symmetry_space_group_name_Hall 'F -4 2 3'
_cell_length_a 6.318
_cell_length_b 6.318
_cell_length_c 6.318
_cell_angle_alpha 90.00
_cell_angle_beta 90.00
_cell_angle_gamma 90.00
loop_
_atom_site_label
_atom_site_fract_x
_atom_site_fract_y
_atom_site_fract_z
Pu1 0.000 0.000 0.000
Mn1 0.250 0.250 0.750
Zn1 0.000 0.000 0.500
Ni1 0.250 0.250 0.250

---

(2)
# Rb2MnNi2 (PBE, optimized geometry)
# spin magnetization = 4.20 μB per formula unit
# DOS at the Fermi energy = 24.4 states/eV per cell
# total energy = -0.1323 Ha/atom
data_Rb2MnNi2
_symmetry_space_group_name_H-M 'I 4/m m m'
_symmetry_Int_Tables_number 139
_symmetry_space_group_name_Hall '-I 4 2'
_cell_length_a 3.367
_cell_length_b 3.367
_cell_length_c 24.007
_cell_angle_alpha 90.00
_cell_angle_beta 90.00
_cell_angle_gamma 90.00
loop_
_atom_site_label
_atom_site_fract_x
_atom_site_fract_y
_atom_site_fract_z
Rb1 0.000 0.000 0.130
Mn1 0.000 0.000 0.500
Ni1 0.000 0.500 0.250

---

(3)
# RbMnNi3 (PBE, optimized geometry)
# spin magnetization = 4.34 μB per formula unit
# DOS at the Fermi energy = 5.5 states/eV per cell
# total energy = -0.1648 Ha/atom
data_RbMnNi3
_symmetry_space_group_name_H-M 'P m -3 m'
_symmetry_Int_Tables_number 221
_symmetry_space_group_name_Hall '-P 4 2 3'
_cell_length_a 4.595
_cell_length_b 4.595
_cell_length_c 4.595
_cell_angle_alpha 90.00
_cell_angle_beta 90.00
_cell_angle_gamma 90.00
loop_
_atom_site_label
_atom_site_fract_x
_atom_site_fract_y
_atom_site_fract_z
Rb1 0.000 0.000 0.000
Mn1 0.500 0.500 0.500
Ni1 0.000 0.500 0.500